1.
Material: Sm6Ge2SeI3
Method: DFT, PBE-GGA
State: optimized geometry

a b c (Å): 7.4328 7.4328 7.9820
angles (deg): 98.93 98.93 120.00
With the nearest neighbours (Å) after each atom.
Fractional coordinates of all 12 atoms:
I: 0.5000 0.5000 0.5000  6 Sm 3.37-3.41
I: 0.8326 0.1674 0.5000  6 Sm 3.36-3.41
I: 0.1674 0.8326 0.5000  6 Sm 3.36-3.41
Sm: 0.5974 0.9354 0.8056  2 Ge 2.87, 1 Se 2.91
Sm: 0.9354 0.5974 0.8056  2 Ge 2.87, 1 Se 2.91
Sm: 0.4026 0.0646 0.1944  2 Ge 2.87, 1 Se 2.91
Sm: 0.0646 0.4026 0.1944  2 Ge 2.87, 1 Se 2.91
Sm: 0.7272 0.7272 0.1944  2 Ge 2.87, 1 Se 2.91
Sm: 0.2728 0.2728 0.8056  2 Ge 2.87, 1 Se 2.91
Se: 0.0000 0.0000 0.0000  6 Sm 2.91
Ge: 0.6665 0.3335 0.0000  6 Sm 2.87
Ge: 0.3335 0.6665 0.0000  6 Sm 2.87

Properties
- ρ: 6.9 Mg/m³
- ΔE_f (raw): -1.133 eV/atom
- Final energy: -4.940 eV per atom
- SG: No. 12
- Total moment: 0.00 Bohr magnetons per cell


2.
Material: Sm6Ge3Se2I
Method: DFT, PBE-GGA
State: optimized geometry

a b c (Å): 4.2691 8.6102 9.5799
angles (deg): 103.28 102.87 90.00
With the nearest neighbours (Å) after each atom.
Fractional coordinates of all 12 atoms:
Sm: 0.6773 0.0803 0.3545  3 Ge 2.89-2.99, 2 Se 3.09, 1 I 3.22
Sm: 0.6646 0.5907 0.3292  3 Ge 2.99, 3 Se 3.06-3.09
Sm: 0.9985 0.2764 0.9970  3 Ge 2.87-2.95, 1 Se 3.07, 2 I 3.20
Sm: 0.3227 0.9197 0.6455  3 Ge 2.89-2.99, 2 Se 3.09, 1 I 3.22
Sm: 0.3354 0.4093 0.6708  3 Ge 2.99, 3 Se 3.06-3.09
Sm: 0.0015 0.7236 0.0030  3 Ge 2.87-2.95, 1 Se 3.07, 2 I 3.20
Ge: 0.5000 0.5000 0.0000  6 Sm 2.87-2.99
Ge: 0.1635 0.8327 0.3271  6 Sm 2.89-2.99
Ge: 0.8365 0.1673 0.6729  6 Sm 2.89-2.99
I: 0.5000 0.0000 0.0000  6 Sm 3.20-3.22
Se: 0.1671 0.3330 0.3343  6 Sm 3.06-3.09
Se: 0.8329 0.6670 0.6657  6 Sm 3.06-3.09

Properties
- ρ: 7.0 Mg/m³
- ΔE_f (raw): -1.265 eV/atom
- Final energy: -5.489 eV per atom
- SG: No. 12
- Total moment: 0.00 Bohr magnetons per cell